Computed, not measured: crystalline GaBSbI2 at its relaxed geometry at the PBE level of DFT.

Cell lengths 5.679, 5.679, 5.363 Å; angles 90.00, 90.00, 90.00 degrees
Fractional coordinates of all 5 atoms:
I: 0.000 0.500 0.000
I: 0.500 0.000 0.000
Sb: 0.000 0.000 0.500
B: 0.500 0.500 0.500
Ga: 0.000 0.000 0.000

Calculated values
Formation energy (no corrections) = 1.19 eV/atom
Polymorph energy (0 for the lowest one) = 0.530 eV per atom
Volume = 173.0 Å³/f.u.
Total magnetic moment = 0.0 μB per formula unit

=====

Computed, not measured: crystalline NaCaTl3 at its relaxed geometry at the PBE level of DFT.

Cell lengths 5.543, 5.543, 5.543 Å; angles 90.00, 90.00, 90.00 degrees
Fractional coordinates of all 5 atoms:
Na: 0.000 0.000 0.000
Tl: 0.000 0.500 0.000
Tl: 0.000 0.000 0.500
Tl: 0.500 0.000 0.000
Ca: 0.500 0.500 0.500

Calculated values
ΔE_f = 72 kJ/mol of formula units
Polymorph energy (0 for the lowest one) = 0.347 eV per atom
Volume = 170.3 Å³/f.u.
Total magnetic moment = 0.0 μB per formula unit